Record 1
Density functional theory data (PBE) for Tb3Pr2Sc after structural relaxation.

## Properties
Calculated volume ... 391 Å³ per cell
Formation enthalpy at 0 K ... 0.27 eV/atom
Total magnetic moment ... 0.00 μB/f.u.
N(E_F) ... 9.041 states/eV/f.u.

Lattice parameters (Å, degrees): 3.360 6.700 17.360 90.00 90.00 90.00
Atoms (fractional coordinates):
1 Sc 0.500 0.500 0.000
2 Tb 0.000 0.000 0.000
3 Sc 0.000 0.000 0.500
4 Pr 0.500 0.748 0.151
5 Tb 0.000 0.743 0.328
6 Tb 0.500 0.500 0.500
7 Tb 0.500 0.243 0.172
8 Tb 0.000 0.257 0.672
9 Pr 0.500 0.252 0.849
10 Tb 0.500 0.757 0.828
11 Pr 0.000 0.248 0.349
12 Pr 0.000 0.752 0.651

Record 2
Density functional theory data (PBE) for InIrBr2 after structural relaxation.

## Properties
Calculated volume ... 89 Å³ per cell
Total magnetic moment ... 0.00 μB/f.u.
N(E_F) ... 2.734 states/eV/f.u.
Uncorrected formation energy ... 0.72 eV per atom

Lattice parameters (Å, degrees): 5.156 5.156 3.351 90.00 90.00 90.08
Atoms (fractional coordinates):
1 Br 0.000 0.000 0.000
2 In 0.500 0.000 0.500
3 Ir 0.000 0.500 0.500
4 Br 0.500 0.500 0.000

Which of these has the lowest calculated volume? InIrBr2